[1]
## Tb6Ho5Tm (PBE)

Data for crystalline Tb6Ho5Tm at its relaxed geometry.

As for the formation enthalpy at 0 K: 0.0184 eV per atom. As for the density: 8.7 Mg/m³.

Lattice parameters (Å, degrees): 9.349 9.349 9.349 149.06 115.45 73.30
Fractional positions:
Tb1 0.083 0.333 0.750
Tb2 0.250 0.000 0.250
Tb3 0.416 0.667 0.750
Tb4 0.584 0.333 0.250
Tb5 0.750 0.000 0.750
Tb6 0.917 0.667 0.250
Ho1 0.166 0.166 0.000
Ho2 0.333 0.833 0.500
Ho3 0.500 0.500 0.000
Ho4 0.667 0.167 0.500
Ho5 0.834 0.834 0.000
Tm1 0.000 0.500 0.500

[2]
## TbHo7Tm12 (PBE)

Data for crystalline TbHo7Tm12 at its relaxed geometry.

Its offset from the most stable computed form is 0.434 eV/atom. As for the formation enthalpy at 0 K: 0.7495 eV per atom. As for the density: 8.1 Mg/m³.

Lattice parameters (Å, degrees): 9.617 9.617 9.617 109.47 109.47 109.47
Fractional positions:
Tb1 0.000 0.000 0.000
Ho1 0.000 0.000 0.500
Ho2 0.000 0.500 0.000
Ho3 0.000 0.500 0.500
Ho4 0.500 0.000 0.000
Ho5 0.500 0.000 0.500
Ho6 0.500 0.500 0.000
Ho7 0.500 0.500 0.500
Tm1 0.000 0.251 0.749
Tm2 0.000 0.749 0.251
Tm3 0.251 0.000 0.749
Tm4 0.251 0.251 0.503
Tm5 0.251 0.503 0.251
Tm6 0.251 0.749 0.000
Tm7 0.497 0.749 0.749
Tm8 0.503 0.251 0.251
Tm9 0.749 0.000 0.251
Tm10 0.749 0.251 0.000
Tm11 0.749 0.497 0.749
Tm12 0.749 0.749 0.497

[3]
## Tb8HoTm2 (PBE)

Data for crystalline Tb8HoTm2 at its relaxed geometry.

Its offset from the most stable computed form is 0.000 eV/atom. As for the formation enthalpy at 0 K: 0.0181 eV per atom. As for the density: 8.6 Mg/m³.

Lattice parameters (Å, degrees): 6.117 6.125 9.368 89.94 83.68 80.31
Fractional positions:
Tb1 0.046 0.409 0.318
Tb2 0.136 0.227 0.955
Tb3 0.228 0.045 0.591
Tb4 0.409 0.682 0.864
Tb5 0.591 0.318 0.136
Tb6 0.772 0.955 0.409
Tb7 0.864 0.773 0.045
Tb8 0.954 0.591 0.682
Ho1 0.500 0.500 0.500
Tm1 0.318 0.864 0.228
Tm2 0.682 0.136 0.772

[4]
## TbHo2Tm7 (PBE)

Data for crystalline TbHo2Tm7 at its relaxed geometry.

Its offset from the most stable computed form is 0.690 eV/atom. As for the formation enthalpy at 0 K: 0.7161 eV per atom. As for the density: 7.4 Mg/m³.

Lattice parameters (Å, degrees): 9.438 9.438 5.176 90.00 90.00 125.65
Fractional positions:
Tb1 0.000 0.000 0.000
Ho1 0.299 0.701 0.500
Ho2 0.701 0.299 0.500
Tm1 0.068 0.288 0.500
Tm2 0.198 0.802 0.000
Tm3 0.288 0.068 0.500
Tm4 0.500 0.500 0.500
Tm5 0.712 0.932 0.500
Tm6 0.802 0.198 0.000
Tm7 0.932 0.712 0.500